This record from Alexandria via LeMat-Bulk describes a relaxed BeCrGa2O6 crystal. The functional is PBE+U.

a b c (Å): 4.892 4.895 5.434
angles (deg): 116.48 90.40 119.63
Sites, in units of the cell vectors:
Be1 0.000 0.000 0.000
Cr1 0.441 0.879 0.321
Ga1 0.239 0.479 0.713
Ga2 0.749 0.489 0.237
O1 0.040 0.359 0.026
O2 0.168 0.993 0.499
O3 0.323 0.990 0.025
O4 0.525 0.685 0.508
O5 0.668 0.708 0.027
O6 0.833 0.350 0.508

Properties
E_tot = -65.2 eV for the cell shown
Magnetization = 2.00 Bohr magnetons per cell